1.
8
Lattice="5.3068 0.0000 0.0000 2.6534 4.5958 0.0000 2.6534 1.5319 9.1062" Properties=species:S:1:pos:R:3 comment="PBE SrLiEr2Tl4, optimized geometry" crystal_system=trigonal pbc="T T T"
Sr 0.0000 0.0000 0.0000
Li 5.3068 3.0639 4.5531
Er 7.9602 4.5958 6.6422
Er 2.6534 1.5319 2.4641
Tl 5.3068 3.0639 7.6897
Tl 7.9602 4.5958 3.4921
Tl 2.6534 1.5319 5.6141
Tl 5.3068 3.0639 1.4165


2.
4
Lattice="-1.0556 5.3905 0.2169 -1.3514 2.3458 4.7843 3.5336 3.3947 2.4918" Properties=species:S:1:pos:R:3 comment="PBE SrLiErTl, optimized geometry" crystal_system=cubic pbc="T T T"
Sr 0.8449 8.3483 5.6197
Tl 0.5633 5.5655 3.7465
Li 0.0000 0.0000 0.0000
Er 0.2816 2.7828 1.8732


3.
4
Lattice="5.3400 0.0000 0.0000 2.6700 4.6246 0.0000 2.6700 1.5415 4.3601" Properties=species:S:1:pos:R:3 comment="PBE SrLiErZn, optimized geometry" crystal_system=cubic pbc="T T T"
Sr 2.6700 1.5415 1.0900
Zn 0.0000 0.0000 0.0000
Li 5.3400 3.0831 2.1801
Er 8.0100 4.6246 3.2701


4.
6
Lattice="3.5816 0.0020 0.2897 -0.0323 3.5815 0.2897 2.5264 2.5507 13.2014" Properties=species:S:1:pos:R:3 comment="PBE LiTbEr, optimized geometry" crystal_system=orthorhombic pbc="T T T"
Li 3.8714 3.9087 7.6900
Li 2.2043 2.2255 6.0908
Tb 3.5148 3.5486 12.0850
Tb 2.5609 2.5855 1.6958
Er 1.9302 1.9488 9.4592
Er 4.1455 4.1853 4.3216


5.
6
Lattice="5.8225 0.0000 0.0000 2.9113 5.0425 0.0000 2.9113 1.6808 4.7541" Properties=species:S:1:pos:R:3 comment="PBE Li4TbEr, optimized geometry" crystal_system=cubic pbc="T T T"
Li 5.8225 3.3616 0.5917
Li 5.8225 1.6784 2.9721
Li 7.2802 4.2032 2.9721
Li 4.3648 4.2032 2.9721
Tb 2.9113 1.6808 1.1885
Er 0.0000 0.0000 0.0000


6.
3
Lattice="-2.5637 2.2500 1.2055 -2.4123 -1.5771 -2.1868 1.0391 -4.4228 5.0361" Properties=species:S:1:pos:R:3 comment="PBE LiTbEr, optimized geometry" crystal_system=tetragonal pbc="T T T"
Er -0.9294 -2.6211 2.9155
Tb -0.0326 -0.0920 0.1023
Li -2.9750 -1.0369 1.0370


Number 1: raw total energy -3.06 eV per atom, magnetization 0.0 Bohr magnetons per cell. Number 2: raw total energy -2.77 eV per atom, magnetization 0.0 Bohr magnetons per cell. Number 3: raw total energy -2.35 eV per atom, magnetization 0.0 Bohr magnetons per cell. Number 4: raw total energy -3.65 eV per atom, magnetization 0.0 Bohr magnetons per cell. Number 5: raw total energy -2.69 eV per atom, magnetization 0.0 Bohr magnetons per cell. Number 6: raw total energy -3.61 eV per atom, magnetization 0.1 Bohr magnetons per cell.